# KLi2Mg

A geometry-optimized KLi2Mg structure (GGA-PBE, Alexandria via LeMat-Bulk).

The structure in POSCAR format:
```
KLi2Mg
1.0
6.8160 0.1025 0.1002
2.9416 6.1495 -0.1002
-3.9135 -4.6326 3.1149
K Li Mg
1 2 1
Cartesian
1.9535 2.3214 1.5073
9.4281 6.0409 0.0000
5.2083 3.3371 0.0000
3.8907 -0.7020 1.6076
```

Properties
Energy of formation: 0.7 eV per formula unit
Magnetic moment: 0.00 μB per cell
Symmetry: Immm
DOS(E_F): 2.198 states/eV/f.u.

# AgH3Se

A geometry-optimized AgH3Se structure (GGA-PBE, Alexandria via LeMat-Bulk).

The structure in POSCAR format:
```
AgH3Se
1.0
-2.6639 -2.2881 1.4902
2.2315 -0.6244 3.0304
-1.5737 2.9879 1.7745
H Se Ag
3 1 1
Cartesian
1.1157 -0.3122 1.5152
-0.7868 1.4939 0.8872
-1.3320 -1.1441 0.7451
0.0000 0.0000 0.0000
-1.0031 0.0377 3.1475
```

Properties
Magnetic moment: 0.00 μB per cell
Energy above the lowest structure with this stoichiometry: 0.000 eV/atom
Symmetry: Pm-3m
DOS(E_F): 1.848 states/eV/f.u.

# Tc2HgRh

A geometry-optimized Tc2HgRh structure (GGA-PBE, Alexandria via LeMat-Bulk).

The structure in POSCAR format:
```
Tc2HgRh
1.0
3.8396 0.0000 0.0000
0.0000 3.8412 0.0000
0.0000 0.0000 4.2900
Hg Rh Tc
1 1 2
Cartesian
1.9198 0.0000 2.1450
0.0000 1.9206 2.1450
0.0000 0.0000 0.0000
1.9198 1.9206 0.0000
```

Properties
Energy of formation: 1.8 eV per formula unit
Magnetic moment: 0.00 μB per cell
Symmetry: P4/mmm
DOS(E_F): 5.182 states/eV/f.u.

# U2RuRh

A geometry-optimized U2RuRh structure (GGA-PBE, Alexandria via LeMat-Bulk).

The structure in POSCAR format:
```
U2RuRh
1.0
-0.5278 1.1283 -2.7049
1.8413 -0.6194 -2.2569
-4.8811 -7.6055 -3.8593
Rh U Ru
1 2 1
Cartesian
0.0000 0.0000 0.0000
-3.4864 -5.5667 -3.2810
-0.0812 -1.5299 -5.5401
-1.7838 -3.5483 -4.4106
```

Properties
Energy of formation: 0.4 eV per formula unit
Magnetic moment: 2.18 μB per cell
Symmetry: R-3m
DOS(E_F): 9.437 states/eV/f.u.

# MnTlCd2

A geometry-optimized MnTlCd2 structure (GGA-PBE, Alexandria via LeMat-Bulk).

The structure in POSCAR format:
```
MnTlCd2
1.0
-0.0238 2.6336 1.9152
-0.7820 -1.8506 2.5351
7.4907 -2.8859 4.0614
Cd Mn Tl
2 1 1
Cartesian
-0.4056 -1.8768 2.5758
2.9780 -2.3420 3.2575
1.6653 0.1327 2.6067
5.0196 -2.2355 5.9049
```

Properties
Energy of formation: 0.9 eV per formula unit
Magnetic moment: 3.65 μB per cell
Energy above the lowest structure with this stoichiometry: 0.000 eV/atom
Symmetry: P2/m
DOS(E_F): 2.616 states/eV/f.u.

# Cs2In4Hg9

A geometry-optimized Cs2In4Hg9 structure (GGA-PBE, Alexandria via LeMat-Bulk).

The structure in POSCAR format:
```
Cs2In4Hg9
1.0
-2.1077 3.1080 3.4856
-2.9899 -2.7136 -3.1541
-0.3323 -16.4744 14.4887
Cs In Hg
2 4 9
Cartesian
-2.9488 -13.3108 10.0857
-2.4812 -2.7691 4.7345
-2.8286 -7.3531 4.8460
-2.6014 -8.7269 9.9741
-2.7037 -13.7976 14.4336
-2.7263 -2.2824 0.3865
-5.2127 -5.3100 5.3483
-0.2172 -10.7700 9.4719
-0.2898 -14.3649 12.6335
-5.1402 -1.7151 2.1867
-2.8802 -9.9132 7.0976
-2.5497 -6.1667 7.7225
-2.4163 0.4506 1.9028
-3.0137 -16.5306 12.9174
-0.1662 -8.2372 7.2443
```

Properties
Energy of formation: -1.5 eV per formula unit
Magnetic moment: 0.00 μB per cell
Symmetry: P-3m1
DOS(E_F): 6.021 states/eV/f.u.

# TaReCl2

A geometry-optimized TaReCl2 structure (GGA-PBE, Alexandria via LeMat-Bulk).

The structure in POSCAR format:
```
TaReCl2
1.0
-1.4933 5.1284 1.6191
-3.9607 0.0879 -3.9316
-5.9396 0.6646 2.0367
Re Cl Ta
2 4 2
Cartesian
0.0000 0.0000 0.0000
-5.0800 4.2006 1.2498
-2.9375 3.4654 1.0558
-4.1228 0.7792 -1.7719
-6.4359 2.4532 0.7239
-9.2910 5.0642 -0.5595
-2.7270 2.6082 -1.1562
-6.3136 1.6804 -1.5256
```

Properties
Magnetic moment: 0.00 μB per cell
Energy above the lowest structure with this stoichiometry: 1.797 eV/atom
Symmetry: I-42d
DOS(E_F): 3.388 states/eV/f.u.
Formation energy from raw total energies: 5.19 eV per formula unit

# Cs2YReBr

A geometry-optimized Cs2YReBr structure (GGA-PBE, Alexandria via LeMat-Bulk).

The structure in POSCAR format:
```
Cs2YReBr
1.0
-1.9458 -1.1883 6.8585
3.7798 -2.6631 0.6109
3.7605 5.8133 2.0741
Cs Re Y Br
2 1 1 1
Cartesian
1.8802 2.9066 1.0371
-0.9729 -0.5942 3.4292
0.0000 0.0000 0.0000
2.7973 0.9809 4.7718
1.8899 -1.3315 0.3055
```

Properties
Magnetic moment: 1.40 μB per cell
Symmetry: P4/mmm
DOS(E_F): 11.101 states/eV/f.u.
Formation energy from raw total energies: 6.52 eV per formula unit

# LiPtW3

A geometry-optimized LiPtW3 structure (GGA-PBE, Alexandria via LeMat-Bulk).

The structure in POSCAR format:
```
LiPtW3
1.0
-3.0235 -3.7635 0.0405
3.3562 -2.7195 -2.1557
1.7033 -1.3219 4.3195
W Pt Li
3 1 1
Cartesian
1.6781 -1.3597 -1.0778
0.8516 -0.6610 2.1598
-1.5117 -1.8817 0.0202
0.0000 0.0000 0.0000
1.0180 -3.9024 1.1022
```

Properties
Energy of formation: 10.5 eV per formula unit
Magnetic moment: 0.00 μB per cell
Energy above the lowest structure with this stoichiometry: 0.925 eV/atom
Symmetry: Pm-3m
DOS(E_F): 5.611 states/eV/f.u.

# Mn3HgBi

A geometry-optimized Mn3HgBi structure (GGA-PBE, Alexandria via LeMat-Bulk).

The structure in POSCAR format:
```
Mn3HgBi
1.0
5.1886 0.0000 0.0000
0.0000 5.1886 0.0000
0.0000 0.0000 5.1886
Mn Bi Hg
3 1 1
Cartesian
0.0000 2.5943 0.0000
0.0000 0.0000 2.5943
2.5943 0.0000 0.0000
0.0000 0.0000 0.0000
2.5943 2.5943 2.5943
```

Properties
Energy of formation: 5.6 eV per formula unit
Magnetic moment: 12.05 μB per cell
Energy above the lowest structure with this stoichiometry: 0.200 eV/atom
Symmetry: Pm-3m
DOS(E_F): 2.515 states/eV/f.u.

# Li3FeCl6

A geometry-optimized Li3FeCl6 structure (GGA-PBE, Alexandria via LeMat-Bulk).

The structure in POSCAR format:
```
Li3FeCl6
1.0
7.3668 0.0391 0.0400
-0.1208 7.3659 0.0400
-0.1208 -0.1234 7.3649
Li Fe Cl
6 2 12
Cartesian
2.9810 6.6066 5.6456
6.5404 5.5750 3.2482
1.6935 4.1819 0.7146
5.4317 3.0996 6.7302
0.5848 1.7066 4.1967
4.1441 0.6749 1.7992
0.0000 0.0000 0.0000
3.5626 3.6408 3.7224
2.0413 6.8675 0.6222
0.3036 6.7081 5.2417
4.0825 5.8402 3.3929
6.6999 5.2305 0.5653
3.1732 4.1524 5.9140
1.3750 3.9828 3.1623
5.7502 3.2987 4.2825
3.9520 3.1291 1.5309
0.4253 2.0510 6.8796
3.0427 1.4413 4.0519
6.8216 0.5734 2.2031
5.0839 0.4140 6.8227
```

Properties
Magnetic moment: 2.00 μB per cell
Symmetry: R-3
DOS(E_F): 10.590 states/eV/f.u.
Formation energy from raw total energies: -12.65 eV per formula unit

# CePaCoIr

A geometry-optimized CePaCoIr structure (GGA-PBE, Alexandria via LeMat-Bulk).

The structure in POSCAR format:
```
CePaCoIr
1.0
4.8301 0.0000 0.0000
2.4151 4.1830 0.0000
2.4151 1.3943 3.9438
Pa Co Ce Ir
1 1 1 1
Cartesian
7.2452 4.1830 2.9578
4.8301 2.7887 1.9719
2.4151 1.3943 0.9859
0.0000 0.0000 0.0000
```

Properties
Energy of formation: -1.4 eV per formula unit
Magnetic moment: 0.00 μB per cell
Energy above the lowest structure with this stoichiometry: 0.222 eV/atom
Symmetry: F-43m
DOS(E_F): 8.817 states/eV/f.u.